The following is a PBE with a Hubbard U calculation of crystalline NpNbV2O6 at its relaxed geometry, from the Alexandria database.

a = 5.871 Å, b = 5.871 Å, c = 5.871 Å
α = 55.29°, β = 55.29°, γ = 55.29°
Element x y z (fractional)
Np1 0.000 0.000 0.000
Nb1 0.506 0.506 0.506
V1 0.204 0.204 0.204
V2 0.706 0.706 0.706
O1 0.123 0.786 0.423
O2 0.327 0.585 0.900
O3 0.423 0.123 0.786
O4 0.585 0.900 0.327
O5 0.786 0.423 0.123
O6 0.900 0.327 0.585

Properties
* raw total energy: -90.2 eV/cell